Entry from Alexandria: an optimized crystal structure of Ni3Au (GGA-PBE).

Cell: 8.560 8.560 8.560 Å, 17.96 17.96 17.96°
Sites, in units of the cell vectors:
Ni 0.000 0.000 0.000
Ni 0.257 0.257 0.257
Ni 0.743 0.743 0.743
Au 0.500 0.500 0.500

Calculated volume in A^3/atom: 13.011
Raw total energy in eV for the cell shown: -19.92
Size of the total moment in Bohr magnetons per cell: 1.6